A plane-wave DFT calculation with PBE was carried out for an optimized crystal structure of MgGa14Ag.

Computed properties:
* total energy: -46.87 eV/cell

a = 6.255 Å, b = 6.255 Å, c = 7.679 Å
α = 90.00°, β = 90.00°, γ = 90.00°
Space group P4/mmm (No. 123)
Unique sites:
Mg 0.000 0.000 0.000 [1 per cell]
Ga 0.000 0.000 0.500 [1 per cell]
Ga 0.000 0.500 0.000 [2 per cell]
Ga 0.000 0.500 0.500 [2 per cell]
Ga 0.254 0.254 0.251 [8 per cell]
Ga 0.500 0.500 0.500 [1 per cell]
Ag 0.500 0.500 0.000 [1 per cell]

A plane-wave DFT calculation with PBE was carried out for an optimized crystal structure of ZrNb3N.

Computed properties:
* formation energy without anion corrections: 63.538 kcal/mol of atoms
* offset from the most stable computed form: 3.220 eV per atom

a = 4.880 Å, b = 4.880 Å, c = 4.880 Å
α = 90.00°, β = 90.00°, γ = 90.00°
Space group Pm-3m (No. 221)
Unique sites:
Zr 0.000 0.000 0.000 [1 per cell]
Nb 0.000 0.000 0.500 [3 per cell]
N 0.500 0.500 0.500 [1 per cell]

Taking the records one at a time from the top gives total magnetic moment values of 0.000, 0.000 μB per formula unit.